LaNiI2O | PBE+U | relaxed

Computed properties:
Total energy   -3.77 eV per atom
Crystal system   tetragonal
Spin magnetization   1.9 μB per formula unit
ΔE to the lowest computed polymorph   264 meV per atom

Lattice parameters (Å, degrees): 5.7391 5.7391 3.7360 90.00 90.00 90.00
Closest atoms and distances in Å follow each position.
Atoms (fractional coordinates):
I 0.0000 0.5000 0.0000  2 Ni 2.87
I 0.5000 0.0000 0.0000  2 Ni 2.87
Ni 0.0000 0.0000 0.0000  2 O 1.87
O 0.0000 0.0000 0.5000  2 Ni 1.87
La 0.5000 0.5000 0.5000  8 I 3.42, 2 La 3.74